(1)
TcHgP: optimized geometry, PBE.

- relative energy among the computed polymorphs (eV per formula unit) = 0.00
- crystal system = tetragonal

```
data_TcHgP
_cell_length_a 5.6316
_cell_length_b 5.6316
_cell_length_c 5.6316
_cell_angle_alpha 147.80
_cell_angle_beta 147.80
_cell_angle_gamma 46.19
_symmetry_space_group_name_H-M 'P 1'
_symmetry_Int_Tables_number 1
loop_
_symmetry_equiv_pos_as_xyz
'x,y,z'
loop_
_atom_site_label
_atom_site_fract_x
_atom_site_fract_y
_atom_site_fract_z
_atom_site_occupancy
Tc1 0.0000 0.0000 0.0000 1
Hg1 0.2961 0.2961 0.0000 1
P1 0.5899 0.5899 0.0000 1
```

---

(2)
SrTc3O: optimized geometry, PBE.

- relative energy among the computed polymorphs (eV per formula unit) = 14.48
- crystal system = cubic

```
data_SrTc3O
_cell_length_a 5.1841
_cell_length_b 5.1841
_cell_length_c 5.1841
_cell_angle_alpha 90.00
_cell_angle_beta 90.00
_cell_angle_gamma 90.00
_symmetry_space_group_name_H-M 'P 1'
_symmetry_Int_Tables_number 1
loop_
_symmetry_equiv_pos_as_xyz
'x,y,z'
loop_
_atom_site_label
_atom_site_fract_x
_atom_site_fract_y
_atom_site_fract_z
_atom_site_occupancy
Sr1 0.0000 0.0000 0.0000 1
Tc1 0.0000 0.0000 0.5000 1
Tc2 0.0000 0.5000 0.0000 1
Tc3 0.5000 0.0000 0.0000 1
O1 0.5000 0.5000 0.5000 1
```

---

(3)
Li4MoIr: optimized geometry, PBE.

- crystal system = cubic

```
data_Li4MoIr
_cell_length_a 4.7190
_cell_length_b 4.7190
_cell_length_c 4.7190
_cell_angle_alpha 60.00
_cell_angle_beta 60.00
_cell_angle_gamma 60.00
_symmetry_space_group_name_H-M 'P 1'
_symmetry_Int_Tables_number 1
loop_
_symmetry_equiv_pos_as_xyz
'x,y,z'
loop_
_atom_site_label
_atom_site_fract_x
_atom_site_fract_y
_atom_site_fract_z
_atom_site_occupancy
Li1 0.3766 0.3766 0.3766 1
Li2 0.3766 0.3766 0.8702 1
Li3 0.3766 0.8702 0.3766 1
Li4 0.8702 0.3766 0.3766 1
Mo1 0.0000 0.0000 0.0000 1
Ir1 0.7500 0.7500 0.7500 1
```

---

| no. | electronic total energy (eV/atom) |
| --- | --- |
| 1 | -5.33 |
| 2 | -4.14 |
| 3 | -4.29 |